Entry 1:
# Ce8In2Rh

A relaxed Ce8In2Rh crystal (PBE-GGA, Alexandria).

Raw total energy = -5.730 eV per atom
Crystal system = monoclinic
DOS(E_F) = 30.085 states/eV/f.u.

a b c (Å): 8.3377 8.3377 6.9287
angles (deg): 108.84 108.84 38.63
Fractional positions:
Ce (0.0136, 0.0136, 0.2554)
Ce (0.1691, 0.1691, 0.1610)
Ce (0.3586, 0.3586, 0.1425)
Ce (0.3951, 0.3951, 0.5753)
Ce (0.6049, 0.6049, 0.4247)
Ce (0.6414, 0.6414, 0.8575)
Ce (0.8309, 0.8309, 0.8390)
Ce (0.9864, 0.9864, 0.7446)
In (0.1977, 0.1977, 0.6764)
In (0.8023, 0.8023, 0.3236)
Rh (0.5000, 0.5000, 0.0000)


Entry 2:
# KCa2Al

A relaxed KCa2Al crystal (PBE-GGA, Alexandria).

Raw total energy = -2.231 eV per atom
Crystal system = monoclinic
DOS(E_F) = 2.683 states/eV/f.u.

a b c (Å): 3.7699 3.7790 10.8252
angles (deg): 90.00 90.33 90.00
Fractional positions:
K (0.0000, 0.0000, 0.0000)
Ca (0.4978, 0.5000, 0.3317)
Ca (0.5022, 0.5000, 0.6683)
Al (0.0000, 0.0000, 0.5000)


Entry 3:
# CdAsOs

A relaxed CdAsOs crystal (PBE-GGA, Alexandria).

Distance to the lowest polymorph of the same formula = 0.00 eV per formula unit
Crystal system = trigonal
DOS(E_F) = 0.735 states/eV/f.u.

a b c (Å): 3.0958 3.0958 6.7591
angles (deg): 90.00 90.00 120.00
Fractional positions:
Cd (0.0000, 0.0000, 0.0000)
As (0.3333, 0.6667, 0.5842)
Os (0.6667, 0.3333, 0.3383)


Entry 4:
# ZnNi2RuN

A relaxed ZnNi2RuN crystal (PBE-GGA, Alexandria).

Distance to the lowest polymorph of the same formula = 7.90 eV per formula unit
Formation energy from raw total energies = 1526 meV per atom
Crystal system = tetragonal
DOS(E_F) = 7.904 states/eV/f.u.

a b c (Å): 4.5074 4.5074 3.5021
angles (deg): 90.00 90.00 90.00
Fractional positions:
Zn (0.0000, 0.0000, 0.0000)
Ni (0.0000, 0.5000, 0.0000)
Ni (0.5000, 0.0000, 0.0000)
Ru (0.5000, 0.5000, 0.5000)
N (0.0000, 0.0000, 0.5000)